Record 1
First-principles (PBE-GGA) data for crystalline AcMg3Pb3 at its relaxed geometry, as listed in Alexandria via LeMat-Bulk.

As for the crystal system: hexagonal. The value obtained for the energy above the lowest structure with this stoichiometry is 0.000 eV per atom. Its symmetry is P6_3/m (176). For the energy of formation from the pure elements, the calculation gives -195 meV/atom.

abc: 5.1125 9.5488 9.5488
angles: 120.00 90.00 90.00
With the nearest neighbours (Å) after each atom.
Fractional coordinates of all 14 atoms:
Mg 0.2500 0.9613 0.1780  4 Pb 3.11-3.19, 6 Mg 3.19-3.31
Pb 0.7500 0.6572 0.5820  4 Mg 3.11-3.19
Ac 0.2500 0.6667 0.3333  9 Pb 3.52-3.57, 3 Mg 3.78
Ac 0.7500 0.3333 0.6667  9 Pb 3.52-3.57, 3 Mg 3.78
Mg 0.7500 0.0387 0.8220  4 Pb 3.11-3.19, 6 Mg 3.19-3.31
Pb 0.2500 0.3428 0.4180  4 Mg 3.11-3.19
Mg 0.7500 0.1780 0.2168  4 Pb 3.11-3.19, 6 Mg 3.19-3.31
Mg 0.7500 0.7832 0.9613  4 Pb 3.11-3.19, 6 Mg 3.19-3.31
Mg 0.2500 0.2168 0.0387  4 Pb 3.11-3.19, 6 Mg 3.19-3.31
Mg 0.2500 0.8220 0.7832  4 Pb 3.11-3.19, 6 Mg 3.19-3.31
Pb 0.2500 0.0752 0.6572  4 Mg 3.11-3.19
Pb 0.2500 0.5820 0.9248  4 Mg 3.11-3.19
Pb 0.7500 0.4180 0.0752  4 Mg 3.11-3.19
Pb 0.7500 0.9248 0.3428  4 Mg 3.11-3.19

Record 2
First-principles (PBE-GGA) data for crystalline Ac4MgPb at its relaxed geometry, as listed in Alexandria via LeMat-Bulk.

As for the crystal system: tetragonal. Its symmetry is P4/mmm (123). For the energy of formation from the pure elements, the calculation gives 31 meV/atom.

abc: 5.6866 5.6875 8.0721
angles: 89.97 89.98 89.99
With the nearest neighbours (Å) after each atom.
Fractional coordinates of all 6 atoms:
Ac 0.5013 0.9975 0.7442  2 Mg 3.47, 2 Pb 3.51
Pb 0.5013 0.4973 0.9981  8 Ac 3.51
Ac 0.0014 0.4973 0.7442  2 Mg 3.47, 2 Pb 3.51
Ac 0.0012 0.4972 0.2521  2 Mg 3.47, 2 Pb 3.51
Mg 0.0013 0.9973 0.4981  8 Ac 3.47
Ac 0.5013 0.9970 0.2521  2 Mg 3.47, 2 Pb 3.51

Record 3
First-principles (PBE-GGA) data for crystalline Ac5Mg4Pb at its relaxed geometry, as listed in Alexandria via LeMat-Bulk.

As for the crystal system: tetragonal. Its symmetry is P4/mmm (123). For the energy of formation from the pure elements, the calculation gives -156 meV/atom.

abc: 4.1272 4.1272 20.6731
angles: 90.00 90.00 90.00
With the nearest neighbours (Å) after each atom.
Fractional coordinates of all 10 atoms:
Mg 0.0000 0.0000 0.2039  8 Ac 3.54-3.60
Mg 0.0000 0.0000 0.5996  8 Ac 3.57
Ac 0.5000 0.5000 0.3011  8 Mg 3.54-3.57
Pb 0.0000 0.0000 0.0000  8 Ac 3.60
Ac 0.5000 0.5000 0.1019  4 Pb 3.60, 4 Mg 3.60
Mg 0.0000 0.0000 0.7961  8 Ac 3.54-3.60
Ac 0.5000 0.5000 0.8981  4 Pb 3.60, 4 Mg 3.60
Ac 0.5000 0.5000 0.6989  8 Mg 3.54-3.57
Mg 0.0000 0.0000 0.4004  8 Ac 3.57
Ac 0.5000 0.5000 0.5000  8 Mg 3.57

Record 4
First-principles (PBE-GGA) data for crystalline AcMg2Pb at its relaxed geometry, as listed in Alexandria via LeMat-Bulk.

As for the crystal system: monoclinic. The value obtained for the energy above the lowest structure with this stoichiometry is 0.141 eV per atom. Its symmetry is P2/m (10). For the energy of formation from the pure elements, the calculation gives -123 meV/atom.

abc: 5.3241 3.7652 6.2426
angles: 90.79 90.00 90.00
With the nearest neighbours (Å) after each atom.
Fractional coordinates of all 4 atoms:
Mg 0.0000 0.0104 0.2466  2 Mg 3.08-3.17, 2 Pb 3.10
Ac 0.5000 0.5000 0.0000  8 Mg 3.60-3.61, 4 Pb 3.62-3.67, 2 Ac 3.77
Mg 0.0000 0.9896 0.7534  2 Mg 3.08-3.17, 2 Pb 3.10
Pb 0.5000 0.0000 0.5000  4 Mg 3.10

Record 5
First-principles (PBE-GGA) data for crystalline AcMgPb at its relaxed geometry, as listed in Alexandria via LeMat-Bulk.

As for the crystal system: orthorhombic. The value obtained for the energy above the lowest structure with this stoichiometry is 0.348 eV per atom. Its symmetry is Pmmm (47). For the energy of formation from the pure elements, the calculation gives -79 meV/atom.

abc: 6.2056 7.1614 6.2056
angles: 62.52 93.72 117.48
With the nearest neighbours (Å) after each atom.
Fractional coordinates of all 6 atoms:
Pb 0.2826 0.0000 0.7174  4 Mg 3.10
Mg 0.7828 0.0000 0.7173  4 Pb 3.10
Ac 0.2824 0.5001 0.7176  4 Mg 3.49, 4 Pb 3.58
Mg 0.2827 0.0000 0.2172  4 Pb 3.10
Ac 0.7823 0.4999 0.2177  4 Mg 3.49, 4 Pb 3.58
Pb 0.7825 0.0000 0.2175  4 Mg 3.10

Record 6
First-principles (PBE-GGA) data for crystalline Ac4Mg3Pb5 at its relaxed geometry, as listed in Alexandria via LeMat-Bulk.

As for the crystal system: monoclinic. Its symmetry is C2/m (12). For the energy of formation from the pure elements, the calculation gives -212 meV/atom.

abc: 5.2444 7.2508 12.1092
angles: 86.91 77.49 68.80
With the nearest neighbours (Å) after each atom.
Fractional coordinates of all 12 atoms:
Pb 0.8115 0.5968 0.7803  2 Mg 3.00, 1 Pb 3.09
Mg 0.0000 0.5000 0.5000  2 Pb 2.62
Ac 0.1420 0.7247 0.9913  7 Pb 3.51-3.73, 1 Mg 3.72, 1 Ac 3.72
Mg 0.4355 0.3942 0.7347  4 Pb 2.87-3.00
Pb 0.5522 0.0359 0.8597  1 Mg 2.87, 1 Pb 3.09
Ac 0.8580 0.2753 0.0087  7 Pb 3.51-3.73, 1 Mg 3.72, 1 Ac 3.72
Mg 0.5645 0.6058 0.2653  4 Pb 2.87-3.00
Ac 0.7951 0.0666 0.3432  5 Pb 3.42-3.79, 1 Mg 3.78
Pb 0.1885 0.4032 0.2197  2 Mg 3.00, 1 Pb 3.09
Ac 0.2049 0.9334 0.6568  5 Pb 3.42-3.79, 1 Mg 3.78
Pb 0.5000 0.5000 0.5000  4 Mg 2.62-2.88
Pb 0.4478 0.9641 0.1403  1 Mg 2.87, 1 Pb 3.09